(1)
Material: PuAl2HgO8
Method: DFT, PBE
State: relaxed

Cell: 6.8637 6.6180 6.2321 Å, 90.00 94.37 90.00°
Space group C2/m (No. 12)
Unique sites:
Pu 0.0000 0.0000 0.0000
Al 0.0110 0.5000 0.2541
Hg 0.0000 0.0000 0.5000
O 0.0000 0.3140 0.0000
O 0.0000 0.3304 0.5000
O 0.2117 0.0000 0.7625
O 0.2234 0.0000 0.2025

Summary:
VASP energy = -7.0829 eV per atom

---

(2)
Material: CdTcSe
Method: DFT, PBE
State: relaxed

Cell: 6.2481 6.2481 6.2481 Å, 90.00 90.00 90.00°
Space group F-43m (No. 216)
Unique sites:
Cd 0.0000 0.0000 0.0000
Tc 0.2500 0.2500 0.2500
Se 0.0000 0.0000 0.5000

Summary:
ΔE to the lowest computed polymorph = 593 meV per atom

---

(3)
Material: Al2SnPd9
Method: DFT, PBE
State: relaxed

Cell: 3.9646 3.9646 11.7903 Å, 90.00 90.00 90.00°
Space group P4/mmm (No. 123)
Unique sites:
Al 0.0000 0.0000 0.1614
Sn 0.0000 0.0000 0.5000
Pd 0.0000 0.5000 0.0000
Pd 0.0000 0.5000 0.3239
Pd 0.5000 0.5000 0.1619
Pd 0.5000 0.5000 0.5000

Summary:
Energy of formation = -569 meV/atom

---

(4)
Material: SrTlBrO
Method: DFT, PBE
State: relaxed

Cell: 4.0600 4.0600 7.9899 Å, 90.00 90.00 120.00°
Space group P3m1 (No. 156)
Unique sites:
Sr 0.0000 0.0000 0.0000
Tl 0.6667 0.3333 0.5934
Br 0.3333 0.6667 0.2677
O 0.6667 0.3333 0.8849

Summary:
VASP energy = -4.3315 eV per atom

---

(5)
Material: Tb2TmAu
Method: DFT, PBE
State: relaxed

Cell: 3.7079 3.7079 29.4934 Å, 90.00 90.00 120.00°
Space group R3m (No. 160, hexagonal axes)
Unique sites:
Tb 0.0000 0.0000 0.0000
Tb 0.0000 0.0000 0.1914
Tm 0.0000 0.0000 0.4292
Au 0.0000 0.0000 0.5952

Summary:
ΔE to the lowest computed polymorph = 175 meV per atom
Energy of formation = -271 meV/atom

---

(6)
Material: Pr12Y6Mg
Method: DFT, PBE
State: relaxed

Cell: 12.2464 12.2464 15.4199 Å, 90.00 90.00 120.00°
Space group R-3 (No. 148, hexagonal axes)
Unique sites:
Pr 0.0064 0.8303 0.3113
Pr 0.0473 0.2003 0.9158
Y 0.0221 0.5906 0.1913
Mg 0.0000 0.0000 0.5000

Summary:
Energy of formation = 117 meV/atom

---

(7)
Material: KMg2Ti
Method: DFT, PBE
State: relaxed

Cell: 7.5457 7.5457 7.5457 Å, 90.00 90.00 90.00°
Space group Fm-3m (No. 225)
Unique sites:
K 0.0000 0.0000 0.0000
Mg 0.2500 0.2500 0.2500
Ti 0.0000 0.0000 0.5000

Summary:
ΔE to the lowest computed polymorph = 0 meV per atom
Energy of formation = 700 meV/atom

---

(8)
Material: Rb2PmAgI6
Method: DFT, PBE
State: relaxed

Cell: 8.4298 8.7923 14.5030 Å, 90.00 125.49 90.00°
Space group P2_1/c (No. 14)
Unique sites:
Rb 0.2250 0.0756 0.2486
Pm 0.5000 0.0000 0.0000
Ag 0.0000 0.0000 0.5000
I 0.1558 0.1987 0.9550
I 0.2617 0.7042 0.9575
I 0.3327 0.0133 0.7437

Summary:
VASP energy = -3.0878 eV per atom